No. 1
# PBE CdPb2S2, relaxed
# Total magnetization ... 0.00 μB/f.u.
# Energy relative to the elements, uncorrected ... -105 kJ/mol of formula units
# Energy above the most stable polymorph in this dataset ... 0 meV per atom
data_CdPb2S2
_symmetry_space_group_name_H-M 'P 4/m b m'
_symmetry_Int_Tables_number 127
_symmetry_space_group_name_Hall '-P 4 2ab'
_cell_length_a 8.0235
_cell_length_b 8.0235
_cell_length_c 3.9549
_cell_angle_alpha 90.00
_cell_angle_beta 90.00
_cell_angle_gamma 90.00
loop_
_atom_site_label
_atom_site_type_symbol
_atom_site_fract_x
_atom_site_fract_y
_atom_site_fract_z
Cd1 Cd 0.0000 0.0000 0.0000
Pb1 Pb 0.1610 0.3390 0.5000
S1 S 0.1575 0.6575 0.0000

=====

No. 2
# PBE CdPbS, relaxed
# Total magnetization ... 0.00 μB/f.u.
# Energy relative to the elements, uncorrected ... -58 kJ/mol of formula units
# Energy above the most stable polymorph in this dataset ... 25 meV per atom
data_CdPbS
_symmetry_space_group_name_H-M 'R -3 m'
_symmetry_Int_Tables_number 166
_symmetry_space_group_name_Hall '-R 3 2"'
_cell_length_a 4.9767
_cell_length_b 4.9767
_cell_length_c 25.5613
_cell_angle_alpha 90.00
_cell_angle_beta 90.00
_cell_angle_gamma 120.00
loop_
_atom_site_label
_atom_site_type_symbol
_atom_site_fract_x
_atom_site_fract_y
_atom_site_fract_z
Cd1 Cd 0.0000 0.0000 0.1761
Pb1 Pb 0.0000 0.0000 0.3961
S1 S 0.0000 0.0000 0.2844

=====

No. 3
# PBE Cd2PbS, relaxed
# Total magnetization ... 0.00 μB/f.u.
# Energy relative to the elements, uncorrected ... 94 kJ/mol of formula units
# Energy above the most stable polymorph in this dataset ... 318 meV per atom
data_Cd2PbS
_symmetry_space_group_name_H-M 'F m -3 m'
_symmetry_Int_Tables_number 225
_symmetry_space_group_name_Hall '-F 4 2 3'
_cell_length_a 7.3239
_cell_length_b 7.3239
_cell_length_c 7.3239
_cell_angle_alpha 90.00
_cell_angle_beta 90.00
_cell_angle_gamma 90.00
loop_
_atom_site_label
_atom_site_type_symbol
_atom_site_fract_x
_atom_site_fract_y
_atom_site_fract_z
Cd1 Cd 0.2500 0.2500 0.2500
Pb1 Pb 0.0000 0.0000 0.0000
S1 S 0.0000 0.0000 0.5000

=====

No. 4
# PBE Cd3PbS, relaxed
# Total magnetization ... 0.06 μB/f.u.
# Energy relative to the elements, uncorrected ... 259 kJ/mol of formula units
data_Cd3PbS
_symmetry_space_group_name_H-M 'P m -3 m'
_symmetry_Int_Tables_number 221
_symmetry_space_group_name_Hall '-P 4 2 3'
_cell_length_a 5.5388
_cell_length_b 5.5388
_cell_length_c 5.5388
_cell_angle_alpha 90.00
_cell_angle_beta 90.00
_cell_angle_gamma 90.00
loop_
_atom_site_label
_atom_site_type_symbol
_atom_site_fract_x
_atom_site_fract_y
_atom_site_fract_z
Cd1 Cd 0.0000 0.0000 0.5000
Pb1 Pb 0.0000 0.0000 0.0000
S1 S 0.5000 0.5000 0.5000

=====

No. 5
# PBE CdPb3S4, relaxed
# Total magnetization ... 0.00 μB/f.u.
# Energy relative to the elements, uncorrected ... -368 kJ/mol of formula units
# Energy above the most stable polymorph in this dataset ... 24 meV per atom
data_CdPb3S4
_symmetry_space_group_name_H-M 'P m n 21'
_symmetry_Int_Tables_number 31
_cell_length_a 8.6304
_cell_length_b 9.1241
_cell_length_c 6.0208
_cell_angle_alpha 90.00
_cell_angle_beta 90.00
_cell_angle_gamma 90.00
loop_
_symmetry_equiv_pos_as_xyz
'x,y,z'
'-x+1/2,-y,z+1/2'
'-x,y,z'
'x+1/2,-y,z+1/2'
loop_
_atom_site_label
_atom_site_type_symbol
_atom_site_fract_x
_atom_site_fract_y
_atom_site_fract_z
Cd1 Cd 0.0000 0.1884 0.0000
Pb1 Pb 0.0000 0.8827 0.4744
Pb2 Pb 0.2218 0.6562 0.9777
S1 S 0.0000 0.2121 0.4497
S2 S 0.0000 0.9079 0.9518
S3 S 0.2414 0.6719 0.4522

=====

No. 6
# PBE CdPb2S3, relaxed
# Total magnetization ... 0.00 μB/f.u.
# Energy relative to the elements, uncorrected ... -297 kJ/mol of formula units
data_CdPb2S3
_symmetry_space_group_name_H-M 'I m m 2'
_symmetry_Int_Tables_number 44
_cell_length_a 4.2136
_cell_length_b 17.2104
_cell_length_c 4.2719
_cell_angle_alpha 90.00
_cell_angle_beta 90.00
_cell_angle_gamma 90.00
loop_
_symmetry_equiv_pos_as_xyz
'x,y,z'
'-x,-y,z'
'-x,y,z'
'x,-y,z'
'x+1/2,y+1/2,z+1/2'
'-x+1/2,-y+1/2,z+1/2'
'-x+1/2,y+1/2,z+1/2'
'x+1/2,-y+1/2,z+1/2'
loop_
_atom_site_label
_atom_site_type_symbol
_atom_site_fract_x
_atom_site_fract_y
_atom_site_fract_z
Cd1 Cd 0.0000 0.0000 0.0000
Pb1 Pb 0.0000 0.3386 0.9325
S1 S 0.0000 0.1511 0.8910
S2 S 0.0000 0.5000 0.8813

=====

No. 7
# PBE Cd2PbS, relaxed
# Total magnetization ... 0.00 μB/f.u.
# Energy relative to the elements, uncorrected ... -21 kJ/mol of formula units
# Energy above the most stable polymorph in this dataset ... 18 meV per atom
data_Cd2PbS
_symmetry_space_group_name_H-M 'I -4 2 d'
_symmetry_Int_Tables_number 122
_symmetry_space_group_name_Hall 'I -4 2bw'
_cell_length_a 6.9073
_cell_length_b 6.9073
_cell_length_c 10.4322
_cell_angle_alpha 90.00
_cell_angle_beta 90.00
_cell_angle_gamma 90.00
loop_
_atom_site_label
_atom_site_type_symbol
_atom_site_fract_x
_atom_site_fract_y
_atom_site_fract_z
Cd1 Cd 0.2036 0.2500 0.1250
Pb1 Pb 0.0000 0.0000 0.5000
S1 S 0.0000 0.0000 0.0000

=====

No. 8
# PBE CdPbS, relaxed
# Total magnetization ... 0.00 μB/f.u.
# Energy relative to the elements, uncorrected ... -66 kJ/mol of formula units
# Energy above the most stable polymorph in this dataset ... 0 meV per atom
data_CdPbS
_symmetry_space_group_name_H-M 'P 3 m 1'
_symmetry_Int_Tables_number 156
_cell_length_a 4.0241
_cell_length_b 4.0241
_cell_length_c 5.6143
_cell_angle_alpha 90.00
_cell_angle_beta 90.00
_cell_angle_gamma 120.00
loop_
_symmetry_equiv_pos_as_xyz
'x,y,z'
'-y,x-y,z'
'-x+y,-x,z'
'-y,-x,z'
'-x+y,y,z'
'x,x-y,z'
loop_
_atom_site_label
_atom_site_type_symbol
_atom_site_fract_x
_atom_site_fract_y
_atom_site_fract_z
Cd1 Cd 0.0000 0.0000 0.0000
Pb1 Pb 0.6667 0.3333 0.4079
S1 S 0.3333 0.6667 0.7399

=====

No. 9
# PBE Cd2PbS, relaxed
# Total magnetization ... 0.00 μB/f.u.
# Energy relative to the elements, uncorrected ... -28 kJ/mol of formula units
# Energy above the most stable polymorph in this dataset ... 0 meV per atom
data_Cd2PbS
_symmetry_space_group_name_H-M 'R -3 m'
_symmetry_Int_Tables_number 166
_symmetry_space_group_name_Hall '-R 3 2"'
_cell_length_a 3.7550
_cell_length_b 3.7550
_cell_length_c 27.2563
_cell_angle_alpha 90.00
_cell_angle_beta 90.00
_cell_angle_gamma 120.00
loop_
_atom_site_label
_atom_site_type_symbol
_atom_site_fract_x
_atom_site_fract_y
_atom_site_fract_z
Cd1 Cd 0.0000 0.0000 0.1070
Pb1 Pb 0.0000 0.0000 0.0000
S1 S 0.0000 0.0000 0.5000

=====

No. 10
# PBE CdPb2S2, relaxed
# Total magnetization ... 0.00 μB/f.u.
# Energy relative to the elements, uncorrected ... -96 kJ/mol of formula units
# Energy above the most stable polymorph in this dataset ... 20 meV per atom
data_CdPb2S2
_symmetry_space_group_name_H-M 'I 4/m m m'
_symmetry_Int_Tables_number 139
_symmetry_space_group_name_Hall '-I 4 2'
_cell_length_a 5.0245
_cell_length_b 5.0245
_cell_length_c 12.6184
_cell_angle_alpha 90.00
_cell_angle_beta 90.00
_cell_angle_gamma 90.00
loop_
_atom_site_label
_atom_site_type_symbol
_atom_site_fract_x
_atom_site_fract_y
_atom_site_fract_z
Cd1 Cd 0.0000 0.0000 0.0000
Pb1 Pb 0.0000 0.0000 0.3505
S1 S 0.0000 0.5000 0.2500

=====

No. 11
# PBE CdPb4S2, relaxed
# Total magnetization ... 0.00 μB/f.u.
# Energy relative to the elements, uncorrected ... 124 kJ/mol of formula units
data_CdPb4S2
_symmetry_space_group_name_H-M 'I 4/m m m'
_symmetry_Int_Tables_number 139
_symmetry_space_group_name_Hall '-I 4 2'
_cell_length_a 5.5002
_cell_length_b 5.5002
_cell_length_c 15.9180
_cell_angle_alpha 90.00
_cell_angle_beta 90.00
_cell_angle_gamma 90.00
loop_
_atom_site_label
_atom_site_type_symbol
_atom_site_fract_x
_atom_site_fract_y
_atom_site_fract_z
Cd1 Cd 0.0000 0.0000 0.0000
Pb1 Pb 0.0000 0.0000 0.2421
Pb2 Pb 0.0000 0.5000 0.0000
S1 S 0.0000 0.0000 0.4063

=====

No. 12
# PBE CdSnPb2S5, relaxed
# Total magnetization ... 0.00 μB/f.u.
# Energy relative to the elements, uncorrected ... -393 kJ/mol of formula units
data_CdSnPb2S5
_symmetry_space_group_name_H-M 'C m c 21'
_symmetry_Int_Tables_number 36
_cell_length_a 3.9323
_cell_length_b 18.7838
_cell_length_c 12.5694
_cell_angle_alpha 90.00
_cell_angle_beta 90.00
_cell_angle_gamma 90.00
loop_
_symmetry_equiv_pos_as_xyz
'x,y,z'
'-x,-y,z+1/2'
'-x,y,z'
'x,-y,z+1/2'
'x+1/2,y+1/2,z'
'-x+1/2,-y+1/2,z+1/2'
'-x+1/2,y+1/2,z'
'x+1/2,-y+1/2,z+1/2'
loop_
_atom_site_label
_atom_site_type_symbol
_atom_site_fract_x
_atom_site_fract_y
_atom_site_fract_z
Cd1 Cd 0.0000 0.2059 0.0000
Sn1 Sn 0.0000 0.4548 0.4046
Pb1 Pb 0.0000 0.1364 0.2957
Pb2 Pb 0.0000 0.1452 0.6425
S1 S 0.0000 0.0279 0.0221
S2 S 0.0000 0.2936 0.6491
S3 S 0.0000 0.3298 0.3566
S4 S 0.0000 0.3442 0.9842
S5 S 0.0000 0.4759 0.7466